No. 1
Zr2PRu: optimized geometry, PBE. Values from VASP.

Calculated values
As for the calculated formation energy: -476.1 meV/atom. The calculation puts the total energy at -8.422 eV per atom. The symmetry is R3m.

```
&SYSTEM
  ibrav = 0, nat = 4, ntyp = 3
/
ATOMIC_SPECIES
Zr 91.22 Zr.upf
P 30.97 P.upf
Ru 101.07 Ru.upf
ATOMIC_POSITIONS crystal
Zr 0.000 0.000 0.000
Zr 0.188 0.188 0.188
P 0.751 0.751 0.751
Ru 0.436 0.436 0.436
CELL_PARAMETERS angstrom
2.005 1.157 5.725
-2.005 1.157 5.725
0.000 -2.315 5.725
```

No. 2
BeInPd3: optimized geometry, PBE. Values from VASP.

Calculated values
Its offset from the most stable computed form is 1352 meV per atom. As for the calculated formation energy: 1012.5 meV/atom. The calculation puts the total energy at -3.396 eV per atom. The symmetry is Pm-3m.

```
&SYSTEM
  ibrav = 0, nat = 5, ntyp = 3
/
ATOMIC_SPECIES
Be 9.01 Be.upf
In 114.82 In.upf
Pd 106.42 Pd.upf
ATOMIC_POSITIONS crystal
Be 0.000 0.000 0.000
In 0.500 0.500 0.500
Pd 0.000 0.500 0.500
Pd 0.500 0.000 0.500
Pd 0.500 0.500 0.000
CELL_PARAMETERS angstrom
4.903 0.000 0.000
0.000 4.903 0.000
0.000 0.000 4.903
```

Q: Which of these has the highest calculated formation energy?
A: BeInPd3

Repeat the second record exactly.
BeInPd3: optimized geometry, PBE. Values from VASP.

Calculated values
Its offset from the most stable computed form is 1352 meV per atom. As for the calculated formation energy: 1012.5 meV/atom. The calculation puts the total energy at -3.396 eV per atom. The symmetry is Pm-3m.

```
&SYSTEM
  ibrav = 0, nat = 5, ntyp = 3
/
ATOMIC_SPECIES
Be 9.01 Be.upf
In 114.82 In.upf
Pd 106.42 Pd.upf
ATOMIC_POSITIONS crystal
Be 0.000 0.000 0.000
In 0.500 0.500 0.500
Pd 0.000 0.500 0.500
Pd 0.500 0.000 0.500
Pd 0.500 0.500 0.000
CELL_PARAMETERS angstrom
4.903 0.000 0.000
0.000 4.903 0.000
0.000 0.000 4.903
```